Entry 1:
# SrTlSi2

SrTlSi2 after structural relaxation (PBE, the Alexandria database).

Geometry as extended XYZ:
```
4
Lattice="-2.251 0.371 6.033 1.080 -1.509 6.177 1.962 3.662 2.424" Properties=species:S:1:pos:R:3 pbc="T T T"
Si 1.725 3.299 3.164
Si 0.730 2.103 10.550
Sr 0.505 1.431 6.974
Tl 0.188 0.617 3.687
```

Summary:
VASP energy (eV per atom): -3.831
Formation energy without anion corrections (kJ per mole of atoms): -10.39
Space group: Imm2, No. 44
Crystal system: orthorhombic

=====

Entry 2:
# K4SiRu

K4SiRu after structural relaxation (PBE, the Alexandria database).

Geometry as extended XYZ:
```
6
Lattice="0.000 4.596 4.596 4.596 0.000 4.596 4.596 4.596 0.000" Properties=species:S:1:pos:R:3 pbc="T T T"
K 5.753 5.753 3.439
K 5.753 3.439 5.753
K 3.439 3.439 3.439
K 3.439 5.753 5.753
Ru 6.894 6.894 6.894
Si 0.000 0.000 0.000
```

Summary:
VASP energy (eV per atom): -1.959
Formation energy without anion corrections (kJ per mole of atoms): 117.91
Space group: F-43m, No. 216
Crystal system: cubic